Entry 1:
Here is an optimized crystal structure of KCSCl2 from Alexandria. Energies are from PBE.

The structure belongs to space group P4/mmm (No. 123); the cell edges are 5.640, 5.640 and 5.880 Å and the angles 90.00°, 90.00° and 90.00°. The distinct sites, in fractional coordinates, are K at (0.000, 0.000, 0.000), C at (0.500, 0.500, 0.500), S at (0.000, 0.000, 0.500) and Cl at (0.000, 0.500, 0.000).

The calculation puts the calculated total energy at -1.78 eV per atom. The calculation puts the formation energy without anion corrections at 1.852 eV per atom. For the polymorph energy (0 for the lowest one), the calculation gives 1681 meV/atom.



Entry 2:
Here is an optimized crystal structure of Rb2HI3 from Alexandria. Energies are from PBE.

The structure belongs to space group C2/c (No. 15); the cell edges are 12.578, 9.448 and 10.013 Å and the angles 90.00°, 117.30° and 90.00°. The distinct sites, in fractional coordinates, are Rb at (0.149, 0.201, 0.144), H at (0.000, 0.465, 0.250), I at (0.000, 0.082, 0.750) and I at (0.148, 0.457, 0.433).

The calculation puts the calculated total energy at -2.63 eV per atom.



Entry 3:
Here is an optimized crystal structure of Li5Pm2Sn4 from Alexandria. Energies are from PBE.

The structure belongs to space group Fmmm (No. 69); the cell edges are 6.158, 10.389 and 16.480 Å and the angles 90.00°, 90.00° and 90.00°. The distinct sites, in fractional coordinates, are Li at (0.000, 0.000, 0.000), Li at (0.250, 0.250, 0.000), Li at (0.250, 0.250, 0.250), Pm at (0.000, 0.000, 0.329) and Sn at (0.000, 0.142, 0.139).

The calculation puts the calculated total energy at -3.55 eV per atom. The value obtained for the formation energy is -0.36 eV/atom.



Entry 4:
Here is an optimized crystal structure of Ho2ZnAg2 from Alexandria. Energies are from PBE.

The structure belongs to space group Cmmm (No. 65); the cell edges are 4.478, 14.533 and 3.425 Å and the angles 90.00°, 90.00° and 90.00°. The distinct sites, in fractional coordinates, are Ho at (0.000, 0.117, 0.000), Zn at (0.000, 0.500, 0.500) and Ag at (0.000, 0.306, 0.500).

The calculation puts the calculated total energy at -3.48 eV per atom. The value obtained for the formation energy is -0.25 eV/atom. For the polymorph energy (0 for the lowest one), the calculation gives 32 meV/atom.



Entry 5:
Here is an optimized crystal structure of TlMoPb2 from Alexandria. Energies are from PBE.

The structure belongs to space group P4mm (No. 99); the cell edges are 3.288, 3.288 and 9.361 Å and the angles 90.00°, 90.00° and 90.00°. The distinct sites, in fractional coordinates, are Tl at (0.000, 0.000, 0.000), Mo at (0.500, 0.500, 0.202), Pb at (0.000, 0.000, 0.411) and Pb at (0.500, 0.500, 0.718).

The calculation puts the calculated total energy at -4.57 eV per atom. The value obtained for the formation energy is 0.59 eV/atom. For the polymorph energy (0 for the lowest one), the calculation gives 126 meV/atom.



Entry 6:
Here is an optimized crystal structure of Th8C4S3N from Alexandria. Energies are from PBE.

The structure belongs to space group R-3m (No. 166, hexagonal axes); the cell edges are 7.7080, 7.7080 and 19.3655 Å and the angles 90.00°, 90.00° and 120.00°. The distinct sites, in fractional coordinates, are Th at (0.0000, 0.0000, 0.2382), Th at (0.0151, 0.5075, 0.7580), C at (0.0000, 0.0000, 0.5000), C at (0.0000, 0.5000, 0.5000), S at (0.0000, 0.5000, 0.0000) and N at (0.0000, 0.0000, 0.0000).

The calculation puts the calculated total energy at -8.39 eV per atom. The calculation puts the formation energy without anion corrections at -1.081 eV per atom.



Entry 7:
Here is an optimized crystal structure of SbSeN2F from Alexandria. Energies are from PBE.

The structure belongs to space group P4/mmm (No. 123); the cell edges are 4.083, 4.083 and 4.043 Å and the angles 90.00°, 90.00° and 90.00°. The distinct sites, in fractional coordinates, are Sb at (0.000, 0.000, 0.000), Se at (0.500, 0.500, 0.500), N at (0.000, 0.500, 0.500) and F at (0.500, 0.500, 0.000).

The calculation puts the calculated total energy at -4.35 eV per atom. The calculation puts the formation energy without anion corrections at 0.872 eV per atom. For the polymorph energy (0 for the lowest one), the calculation gives 106 meV/atom.



Entry 8:
Here is an optimized crystal structure of DyHg5Pb2 from Alexandria. Energies are from PBE.

The structure belongs to space group I4/mmm (No. 139); the cell edges are 4.707, 4.707 and 19.058 Å and the angles 90.00°, 90.00° and 90.00°. The distinct sites, in fractional coordinates, are Dy at (0.000, 0.000, 0.000), Hg at (0.000, 0.000, 0.500), Hg at (0.000, 0.500, 0.116) and Pb at (0.000, 0.000, 0.236).

The calculation puts the calculated total energy at -1.86 eV per atom. The value obtained for the formation energy is -0.17 eV/atom.



Entry 9:
Here is an optimized crystal structure of InRu from Alexandria. Energies are from PBE.

The structure belongs to space group I4_1/amd (No. 141, origin choice 2); the cell edges are 3.985, 3.985 and 8.691 Å and the angles 90.00°, 90.00° and 90.00°. The distinct sites, in fractional coordinates, are In at (0.000, 0.250, 0.375) and Ru at (0.000, 0.250, 0.875).

The calculation puts the calculated total energy at -5.70 eV per atom. The value obtained for the formation energy is 0.31 eV/atom.



Entry 10:
Here is an optimized crystal structure of YHoSb2 from Alexandria. Energies are from PBE.

The structure belongs to space group R3m (No. 160, hexagonal axes); the cell edges are 4.3493, 4.3493 and 22.2283 Å and the angles 90.00°, 90.00° and 120.00°. The distinct sites, in fractional coordinates, are Y at (0.0000, 0.0000, 0.0000), Ho at (0.0000, 0.0000, 0.8293), Sb at (0.0000, 0.0000, 0.2463) and Sb at (0.0000, 0.0000, 0.4168).

The calculation puts the calculated total energy at -5.85 eV per atom. The calculation puts the formation energy without anion corrections at -1.030 eV per atom. For the polymorph energy (0 for the lowest one), the calculation gives 110 meV/atom.



Entry 11:
Here is an optimized crystal structure of K2BeSe from Alexandria. Energies are from PBE.

The structure belongs to space group F-43m (No. 216); the cell edges are 7.798, 7.798 and 7.798 Å and the angles 90.00°, 90.00° and 90.00°. The distinct sites, in fractional coordinates, are K at (0.000, 0.000, 0.000), K at (0.250, 0.250, 0.250), Be at (0.000, 0.000, 0.500) and Se at (0.250, 0.250, 0.750).

The calculation puts the calculated total energy at -2.22 eV per atom. The calculation puts the formation energy without anion corrections at 0.134 eV per atom. For the polymorph energy (0 for the lowest one), the calculation gives 446 meV/atom.



Entry 12:
Here is an optimized crystal structure of ThSc4Os from Alexandria. Energies are from PBE.

The structure belongs to space group P4/mmm (No. 123); the cell edges are 3.303, 3.303 and 12.834 Å and the angles 90.00°, 90.00° and 90.00°. The distinct sites, in fractional coordinates, are Th at (0.000, 0.000, 0.000), Sc at (0.000, 0.000, 0.382), Sc at (0.500, 0.500, 0.187) and Os at (0.500, 0.500, 0.500).

The calculation puts the calculated total energy at -7.48 eV per atom. The value obtained for the formation energy is -0.15 eV/atom.



> Number 11 is which compound?

K2BeSe